Record 1
# IrPtN3

IrPtN3 after structural relaxation (PBE, the Alexandria database).

```
IrPtN3
1.0
3.878 0.000 0.000
0.000 3.878 0.000
0.000 0.000 3.878
Ir Pt N
1 1 3
Direct
0.500 0.500 0.500 Ir
0.000 0.000 0.000 Pt
0.000 0.500 0.000 N
0.000 0.000 0.500 N
0.500 0.000 0.000 N
```

Results
For the uncorrected formation energy, the calculation gives 11.907 eV/f.u. The space group is No. 221. Its total moment is 0.0000 μB per atom. As for the density of states at the Fermi level: 5.9 states/eV per cell. As for the crystal system: cubic.


Record 2
# Hf3CoAu

Hf3CoAu after structural relaxation (PBE, the Alexandria database).

```
Hf3CoAu
1.0
-2.110 3.307 2.647
1.915 -1.893 3.891
3.778 2.806 -0.495
Hf Au Co
3 1 1
Direct
0.000 0.500 0.000 Hf
0.000 0.000 0.500 Hf
0.500 0.000 0.000 Hf
0.500 0.500 0.500 Au
0.000 0.000 0.000 Co
```

Results
The offset from the most stable computed form is 1.92 eV per formula unit. The space group is No. 221. Its total moment is 0.0000 μB per atom. As for the density of states at the Fermi level: 8.0 states/eV per cell. As for the energy of formation from the pure elements: 0.091 eV/atom. As for the crystal system: cubic.


Record 3
# Dy4GaCu3

Dy4GaCu3 after structural relaxation (PBE, the Alexandria database).

```
Dy4GaCu3
1.0
-2.367 -0.415 -4.319
-3.886 -3.027 -0.407
-7.016 4.899 0.546
Cu Ga Dy
3 1 4
Direct
0.253 0.253 0.241 Cu
0.747 0.747 0.759 Cu
0.500 0.500 0.500 Cu
0.000 0.000 0.000 Ga
0.873 0.873 0.382 Dy
0.378 0.378 0.866 Dy
0.127 0.127 0.618 Dy
0.622 0.622 0.134 Dy
```

Results
The offset from the most stable computed form is 0.00 eV per formula unit. The space group is No. 166. Its total moment is 0.0000 μB per atom. As for the density of states at the Fermi level: 4.2 states/eV per cell. As for the energy of formation from the pure elements: -0.334 eV/atom. As for the crystal system: trigonal.


Record 4
# SnTe2SeI

SnTe2SeI after structural relaxation (PBE, the Alexandria database).

```
SnTe2SeI
1.0
5.766 0.000 0.000
0.000 5.942 0.000
0.000 0.000 5.766
I Te Sn Se
1 2 1 1
Direct
0.000 0.500 0.000 I
0.000 0.000 0.500 Te
0.500 0.000 0.000 Te
0.000 0.000 0.000 Sn
0.500 0.500 0.500 Se
```

Results
The offset from the most stable computed form is 1.61 eV per formula unit. For the uncorrected formation energy, the calculation gives 3.089 eV/f.u. The space group is No. 123. Its total moment is 0.4706 μB per atom. As for the density of states at the Fermi level: 6.3 states/eV per cell. As for the crystal system: tetragonal.


Record 5
# Li2FeS2

Li2FeS2 after structural relaxation (PBE, the Alexandria database).

```
Li2FeS2
1.0
-1.701 -1.120 4.102
2.394 -3.904 -0.073
3.151 -0.823 3.639
S Fe Li
2 1 2
Direct
0.750 0.250 0.500 S
0.250 0.750 0.500 S
0.000 0.000 0.000 Fe
0.336 0.336 0.328 Li
0.664 0.664 0.672 Li
```

Results
The offset from the most stable computed form is 3.45 eV per formula unit. For the uncorrected formation energy, the calculation gives -0.968 eV/f.u. The space group is No. 139. Its total moment is 0.7709 μB per atom. As for the density of states at the Fermi level: 3.7 states/eV per cell. As for the crystal system: tetragonal.


Record 6
# ScAlF

ScAlF after structural relaxation (PBE, the Alexandria database).

```
ScAlF
1.0
3.512 0.000 0.000
0.000 3.512 0.000
0.000 0.000 7.616
F Al Sc
2 2 2
Direct
0.000 0.000 0.000 F
0.500 0.500 0.000 F
0.000 0.500 0.422 Al
0.500 0.000 0.578 Al
0.000 0.500 0.815 Sc
0.500 0.000 0.185 Sc
```

Results
For the uncorrected formation energy, the calculation gives -5.421 eV/f.u. The space group is No. 129. Its total moment is 0.0000 μB per atom. As for the density of states at the Fermi level: 2.3 states/eV per cell. As for the crystal system: tetragonal.


Record 7
# NiHgBr2

NiHgBr2 after structural relaxation (PBE, the Alexandria database).

```
NiHgBr2
1.0
2.763 0.000 7.650
-1.381 2.392 7.650
-1.381 -2.392 7.650
Ni Hg Br
1 1 2
Direct
0.000 0.000 0.000 Ni
0.500 0.500 0.500 Hg
0.096 0.096 0.096 Br
0.904 0.904 0.904 Br
```

Results
The offset from the most stable computed form is 1.39 eV per formula unit. For the uncorrected formation energy, the calculation gives 0.436 eV/f.u. The space group is No. 166. Its total moment is 0.2294 μB per atom. As for the density of states at the Fermi level: 7.5 states/eV per cell. As for the crystal system: trigonal.


Record 8
# La3Pm2DyAs6

La3Pm2DyAs6 after structural relaxation (PBE, the Alexandria database).

```
La3Pm2DyAs6
1.0
7.427 -0.001 0.001
-3.712 6.433 0.001
-1.239 -2.145 7.002
La Pm Dy As
3 2 1 6
Direct
0.167 0.833 0.500 La
0.833 0.167 0.500 La
0.500 0.500 0.500 La
0.334 0.666 0.000 Pm
0.666 0.334 0.000 Pm
0.000 0.000 0.000 Dy
0.920 0.590 0.759 As
0.751 0.751 0.242 As
0.080 0.410 0.241 As
0.590 0.920 0.759 As
0.249 0.249 0.758 As
0.410 0.080 0.241 As
```

Results
The space group is No. 12. Its total moment is 0.0000 μB per atom. As for the density of states at the Fermi level: 1.2 states/eV per cell. As for the energy of formation from the pure elements: -1.546 eV/atom. As for the crystal system: monoclinic.


Record 9
# Tb6ScIn

Tb6ScIn after structural relaxation (PBE, the Alexandria database).

```
Tb6ScIn
1.0
-3.727 0.342 3.127
0.943 -4.504 1.616
6.099 3.738 6.860
Tb Sc In
6 1 1
Direct
0.500 0.500 0.000 Tb
0.500 0.500 0.500 Tb
0.500 0.000 0.249 Tb
0.500 0.000 0.751 Tb
0.000 0.500 0.249 Tb
0.000 0.500 0.751 Tb
0.000 0.000 0.500 Sc
0.000 0.000 0.000 In
```

Results
The space group is No. 123. Its total moment is 0.0000 μB per atom. As for the density of states at the Fermi level: 9.9 states/eV per cell. As for the energy of formation from the pure elements: -0.114 eV/atom. As for the crystal system: tetragonal.


Record 10
# Ba7HgPt2Au2

Ba7HgPt2Au2 after structural relaxation (PBE, the Alexandria database).

```
Ba7HgPt2Au2
1.0
-4.997 -2.447 3.256
3.319 -5.476 0.978
5.627 8.830 8.890
Ba Hg Pt Au
7 1 2 2
Direct
0.383 0.873 0.766 Ba
0.738 0.727 0.476 Ba
0.119 0.606 0.238 Ba
0.617 0.108 0.234 Ba
0.262 0.251 0.524 Ba
0.881 0.368 0.762 Ba
0.500 0.468 0.000 Ba
0.000 0.135 0.000 Hg
0.383 0.375 0.765 Pt
0.617 0.610 0.235 Pt
0.251 0.740 0.502 Au
0.749 0.238 0.498 Au
```

Results
The space group is No. 44. Its total moment is 0.0000 μB per atom. As for the density of states at the Fermi level: 9.2 states/eV per cell. As for the energy of formation from the pure elements: -0.561 eV/atom. As for the crystal system: orthorhombic.


Record 11
# Mg9Tl2In

Mg9Tl2In after structural relaxation (PBE, the Alexandria database).

```
Mg9Tl2In
1.0
4.519 0.000 0.000
0.000 4.519 0.000
0.000 0.000 13.495
Mg Tl In
9 2 1
Direct
0.500 0.500 0.000 Mg
0.500 0.500 0.331 Mg
0.500 0.500 0.669 Mg
0.500 0.000 0.163 Mg
0.500 0.000 0.500 Mg
0.500 0.000 0.837 Mg
0.000 0.500 0.163 Mg
0.000 0.500 0.500 Mg
0.000 0.500 0.837 Mg
0.000 0.000 0.332 Tl
0.000 0.000 0.668 Tl
0.000 0.000 0.000 In
```

Results
The space group is No. 123. Its total moment is 0.0000 μB per atom. As for the density of states at the Fermi level: 4.3 states/eV per cell. As for the energy of formation from the pure elements: -0.056 eV/atom. As for the crystal system: tetragonal.


Record 12
# Hf5PbC

Hf5PbC after structural relaxation (PBE, the Alexandria database).

```
Hf5PbC
1.0
5.924 0.492 -0.026
2.346 5.462 -0.026
2.965 2.135 9.125
Hf Pb C
10 2 2
Direct
0.998 0.613 0.121 Hf
0.174 0.572 0.549 Hf
0.613 0.998 0.621 Hf
0.972 0.028 0.250 Hf
0.428 0.826 0.951 Hf
0.572 0.174 0.049 Hf
0.028 0.972 0.750 Hf
0.387 0.002 0.379 Hf
0.826 0.428 0.451 Hf
0.002 0.387 0.879 Hf
0.477 0.523 0.250 Pb
0.523 0.477 0.750 Pb
0.000 0.000 0.000 C
0.000 0.000 0.500 C
```

Results
The space group is No. 15. Its total moment is 0.0000 μB per atom. As for the density of states at the Fermi level: 12.7 states/eV per cell. As for the energy of formation from the pure elements: -0.080 eV/atom. As for the crystal system: monoclinic.


Record 13
# CeGdPuTl

CeGdPuTl after structural relaxation (PBE, the Alexandria database).

```
CeGdPuTl
1.0
5.397 0.000 0.000
2.698 4.674 0.000
2.698 1.558 4.406
Tl Gd Ce Pu
1 1 1 1
Direct
0.000 0.000 0.000 Tl
0.750 0.750 0.750 Gd
0.500 0.500 0.500 Ce
0.250 0.250 0.250 Pu
```

Results
The space group is No. 216. Its total moment is 4.0314 μB per atom. As for the density of states at the Fermi level: 7.7 states/eV per cell. As for the energy of formation from the pure elements: 0.006 eV/atom. As for the crystal system: cubic.


Record 14
# Li3ErSc2S6

Li3ErSc2S6 after structural relaxation (PBE, the Alexandria database).

```
Li3ErSc2S6
1.0
-4.951 -0.632 -4.178
3.402 -5.237 1.834
-3.324 1.100 5.461
Li Er Sc S
3 1 2 6
Direct
0.168 0.832 0.500 Li
0.832 0.168 0.500 Li
0.500 0.500 0.500 Li
0.000 0.000 0.000 Er
0.333 0.667 0.000 Sc
0.667 0.333 0.000 Sc
0.919 0.575 0.757 S
0.737 0.737 0.244 S
0.081 0.425 0.243 S
0.575 0.919 0.757 S
0.263 0.263 0.756 S
0.425 0.081 0.243 S
```

Results
For the uncorrected formation energy, the calculation gives -21.560 eV/f.u. The space group is No. 12. Its total moment is 0.0000 μB per atom. As for the density of states at the Fermi level: 0.0 states/eV per cell. As for the crystal system: monoclinic.


Record 15
# AlPNF2

AlPNF2 after structural relaxation (PBE, the Alexandria database).

```
AlPNF2
1.0
-2.127 -2.269 -1.694
2.830 -1.618 -1.386
0.140 -2.689 3.425
P N Al F
1 1 1 2
Direct
0.500 0.500 0.500 P
0.000 0.000 0.500 N
0.000 0.000 0.000 Al
0.000 0.500 0.000 F
0.500 0.000 0.000 F
```

Results
The offset from the most stable computed form is 0.00 eV per formula unit. For the uncorrected formation energy, the calculation gives -5.146 eV/f.u. The space group is No. 123. Its total moment is 0.2099 μB per atom. As for the density of states at the Fermi level: 0.5 states/eV per cell. As for the crystal system: tetragonal.


Record 16
# NaSmNp2Se4

NaSmNp2Se4 after structural relaxation (PBE, the Alexandria database).

```
NaSmNp2Se4
1.0
-0.558 -3.771 1.596
0.799 -2.911 -6.599
6.427 0.417 3.232
Na Sm Np Se
1 1 2 4
Direct
0.500 0.500 0.000 Na
0.000 0.000 0.000 Sm
0.500 0.000 0.500 Np
0.000 0.500 0.500 Np
0.500 0.253 0.253 Se
0.500 0.747 0.747 Se
0.000 0.246 0.746 Se
0.000 0.754 0.254 Se
```

Results
For the uncorrected formation energy, the calculation gives -10.374 eV/f.u. The space group is No. 10. Its total moment is 0.0028 μB per atom. As for the density of states at the Fermi level: 22.5 states/eV per cell. As for the crystal system: monoclinic.


Record 17
# Sr2Mg

Sr2Mg after structural relaxation (PBE, the Alexandria database).

```
Sr2Mg
1.0
6.605 -3.464 -0.036
6.605 3.464 -0.036
4.819 0.000 5.692
Sr Mg
4 2
Direct
0.324 0.676 0.000 Sr
0.000 0.324 0.676 Sr
0.500 0.500 0.500 Sr
0.676 0.000 0.324 Sr
0.834 0.834 0.834 Mg
0.166 0.166 0.166 Mg
```

Results
The space group is No. 155. Its total moment is 0.0000 μB per atom. As for the density of states at the Fermi level: 4.8 states/eV per cell. As for the energy of formation from the pure elements: 0.094 eV/atom. As for the crystal system: trigonal.